(1)
A relaxed Sc3TlP crystal, computed with PBE.

Output
- DFT total energy (eV/f.u.) = -29.0

Cell: 6.5674 8.3552 8.4047 Å, 90.00 90.00 90.00°
With the nearest neighbours (Å) after each atom.
Atoms (fractional coordinates):
1 Sc 0.0926 0.0547 0.1596  2 P 2.60-2.79
2 Sc 0.0926 0.4453 0.1596  2 P 2.60-2.79
3 Sc 0.2222 0.2500 0.8106  2 P 2.57-2.65
4 Sc 0.2778 0.7500 0.3106  2 P 2.57-2.65
5 Sc 0.4074 0.5547 0.6596  2 P 2.60-2.79
6 Sc 0.4074 0.9453 0.6596  2 P 2.60-2.79
7 Sc 0.5926 0.0547 0.3404  2 P 2.60-2.79
8 Sc 0.5926 0.4453 0.3404  2 P 2.60-2.79
9 Sc 0.7222 0.2500 0.6894  2 P 2.57-2.65
10 Sc 0.7778 0.7500 0.1894  2 P 2.57-2.65
11 Sc 0.9074 0.5547 0.8404  2 P 2.60-2.79
12 Sc 0.9074 0.9453 0.8404  2 P 2.60-2.79
13 Tl 0.0000 0.0000 0.5000  6 Sc 2.96-3.20
14 Tl 0.0000 0.5000 0.5000  6 Sc 2.96-3.20
15 Tl 0.5000 0.0000 0.0000  6 Sc 2.96-3.20
16 Tl 0.5000 0.5000 0.0000  6 Sc 2.96-3.20
17 P 0.1069 0.7500 0.0250  6 Sc 2.57-2.79
18 P 0.3931 0.2500 0.5250  6 Sc 2.57-2.79
19 P 0.6069 0.7500 0.4750  6 Sc 2.57-2.79
20 P 0.8931 0.2500 0.9750  6 Sc 2.57-2.79


(2)
A relaxed ScTlP crystal, computed with PBE.

Output
- DFT total energy (eV/f.u.) = -16.0

Cell: 6.7218 6.7218 5.0473 Å, 111.47 111.47 116.68°
With the nearest neighbours (Å) after each atom.
Atoms (fractional coordinates):
1 Sc 0.2491 0.7509 0.0000  4 P 2.59
2 Sc 0.7509 0.2491 0.0000  4 P 2.59
3 Tl 0.2280 0.2280 0.9530  2 P 3.01, 1 Tl 3.28, 4 Sc 3.36-3.37
4 Tl 0.7720 0.7720 0.0470  2 P 3.01, 1 Tl 3.28, 4 Sc 3.36-3.37
5 P 0.3014 0.6986 0.5000  4 Sc 2.59
6 P 0.6986 0.3014 0.5000  4 Sc 2.59


(3)
A relaxed ScTlP crystal, computed with PBE.

Output
- DFT total energy (eV/f.u.) = -16.1

Cell: 4.1221 6.7605 5.1923 Å, 90.00 90.00 90.00°
With the nearest neighbours (Å) after each atom.
Atoms (fractional coordinates):
1 Sc 0.0000 0.0997 0.0000  4 P 2.58-2.61
2 Sc 0.5000 0.9003 0.5000  4 P 2.58-2.61
3 Tl 0.0000 0.5466 0.7341  3 P 3.07-3.31, 3 Sc 3.32-3.38, 4 Tl 3.37
4 Tl 0.5000 0.4534 0.2341  3 P 3.07-3.31, 3 Sc 3.32-3.38, 4 Tl 3.37
5 P 0.0000 0.1302 0.5007  4 Sc 2.58-2.61
6 P 0.5000 0.8698 0.0007  4 Sc 2.58-2.61


(4)
A relaxed ScTlP crystal, computed with PBE.

Output
- DFT total energy (eV/f.u.) = -16.5

Cell: 3.7066 3.7066 10.6760 Å, 99.11 99.11 89.86°
With the nearest neighbours (Å) after each atom.
Atoms (fractional coordinates):
1 Sc 0.1943 0.1943 0.3841  5 P 2.63-2.64
2 Sc 0.8057 0.8057 0.6159  5 P 2.63-2.64
3 Tl 0.1777 0.2383 0.8962  1 P 2.95, 1 Sc 3.26
4 Tl 0.7617 0.8223 0.1038  1 P 2.95, 1 Sc 3.26
5 P 0.3173 0.3172 0.6376  5 Sc 2.63-2.64
6 P 0.6828 0.6827 0.3624  5 Sc 2.63-2.64


(5)
A relaxed Sc3TlP crystal, computed with PBE.

Output
- DFT total energy (eV/f.u.) = -28.1

Cell: 6.1367 6.1367 6.1367 Å, 82.56 82.56 82.56°
With the nearest neighbours (Å) after each atom.
Atoms (fractional coordinates):
1 Sc 0.0770 0.7500 0.4230  1 P 2.65, 2 Tl 2.90
2 Sc 0.2500 0.5770 0.9230  1 P 2.65, 2 Tl 2.90
3 Sc 0.4230 0.0770 0.7500  1 P 2.65, 2 Tl 2.90
4 Sc 0.5770 0.9230 0.2500  1 P 2.65, 2 Tl 2.90
5 Sc 0.7500 0.4230 0.0770  1 P 2.65, 2 Tl 2.90
6 Sc 0.9230 0.2500 0.5770  1 P 2.65, 2 Tl 2.90
7 Tl 0.0000 0.0000 0.0000  6 Sc 2.90, 2 P 2.98
8 Tl 0.5000 0.5000 0.5000  6 Sc 2.90, 2 P 2.98
9 P 0.2500 0.2500 0.2500  3 Sc 2.65
10 P 0.7500 0.7500 0.7500  3 Sc 2.65


(6)
A relaxed Sc2TlP2 crystal, computed with PBE.

Output
- DFT total energy (eV/f.u.) = -29.1

Cell: 8.2898 8.2898 8.2898 Å, 155.41 155.41 35.06°
With the nearest neighbours (Å) after each atom.
Atoms (fractional coordinates):
1 Sc 0.1234 0.1234 0.0000  4 P 2.67
2 Sc 0.8766 0.8766 0.0000  4 P 2.67
3 Tl 0.5000 0.5000 0.0000  8 Sc 3.17, 4 Tl 3.53
4 P 0.2500 0.7500 0.5000  4 P 2.50, 4 Sc 2.67
5 P 0.7500 0.2500 0.5000  4 P 2.50, 4 Sc 2.67


(7)
A relaxed Sc3TlP crystal, computed with PBE.

Output
- DFT total energy (eV/f.u.) = -24.1

Cell: 5.2725 5.2725 5.2725 Å, 90.00 90.00 90.00°
With the nearest neighbours (Å) after each atom.
Atoms (fractional coordinates):
1 Sc 0.0000 0.0000 0.5000  2 Tl 2.64
2 Sc 0.0000 0.5000 0.0000  2 Tl 2.64
3 Sc 0.5000 0.0000 0.0000  2 Tl 2.64
4 Tl 0.0000 0.0000 0.0000  6 Sc 2.64
5 P 0.5000 0.5000 0.5000  12 Sc 3.73


(8)
A relaxed Sc3TlP crystal, computed with PBE.

Output
- DFT total energy (eV/f.u.) = -30.3

Cell: 7.8064 7.8064 7.8991 Å, 101.24 101.24 26.91°
With the nearest neighbours (Å) after each atom.
Atoms (fractional coordinates):
1 Sc 0.0000 0.0000 0.0000  2 P 2.66, 1 Tl 2.86
2 Sc 0.1032 0.1032 0.7055  4 P 2.67-2.71
3 Sc 0.2151 0.2151 0.3725  2 P 2.64
4 Sc 0.3117 0.3117 0.8535  3 P 2.79-2.82
5 Sc 0.5249 0.5249 0.3876  2 P 3.07-3.08, 4 Sc 3.13-3.38, 2 Tl 3.18
6 Sc 0.8820 0.8820 0.5733  3 P 2.55-2.64
7 Tl 0.6652 0.6652 0.0499  1 Tl 2.99, 6 Sc 3.06-3.25, 1 P 3.33
8 Tl 0.8623 0.8623 0.1996  4 Sc 2.86-3.18, 1 Tl 2.99
9 P 0.4768 0.4768 0.7488  7 Sc 2.55-2.79
10 P 0.7139 0.7139 0.6148  7 Sc 2.64-2.82


(9)
A relaxed Sc3TlP crystal, computed with PBE.

Output
- DFT total energy (eV/f.u.) = -30.1

Cell: 5.0749 7.3434 6.5608 Å, 90.00 112.75 90.00°
With the nearest neighbours (Å) after each atom.
Atoms (fractional coordinates):
1 Sc 0.0796 0.2500 0.1583  2 P 2.64
2 Sc 0.3550 0.0273 0.7106  2 P 2.55-2.56
3 Sc 0.3550 0.4727 0.7106  2 P 2.55-2.56
4 Sc 0.6450 0.5273 0.2894  2 P 2.55-2.56
5 Sc 0.6450 0.9727 0.2894  2 P 2.55-2.56
6 Sc 0.9204 0.7500 0.8417  2 P 2.64
7 Tl 0.1809 0.7500 0.3613  7 Sc 2.93-3.14
8 Tl 0.8191 0.2500 0.6387  7 Sc 2.93-3.14
9 P 0.4815 0.7500 0.9641  6 Sc 2.55-2.64
10 P 0.5185 0.2500 0.0359  6 Sc 2.55-2.64


(10)
A relaxed Sc2TlP crystal, computed with PBE.

Output
- DFT total energy (eV/f.u.) = -22.5

Cell: 6.1936 6.1936 6.1936 Å, 106.22 106.22 116.19°
With the nearest neighbours (Å) after each atom.
Atoms (fractional coordinates):
1 Sc 0.0851 0.1250 0.4601  2 P 2.56
2 Sc 0.3750 0.9149 0.0399  2 P 2.56
3 Sc 0.6649 0.6250 0.5399  2 P 2.56
4 Sc 0.8750 0.3351 0.9601  2 P 2.56
5 Tl 0.2500 0.7500 0.5000  4 Sc 2.96, 2 P 3.27
6 Tl 0.5000 0.5000 0.0000  4 Sc 2.96, 2 P 3.27
7 P 0.0000 0.0000 0.0000  4 Sc 2.56
8 P 0.7500 0.2500 0.5000  4 Sc 2.56


(11)
A relaxed Sc3TlP crystal, computed with PBE.

Output
- DFT total energy (eV/f.u.) = -30.0

Cell: 6.4860 6.4860 9.5394 Å, 92.19 92.19 32.16°
With the nearest neighbours (Å) after each atom.
Atoms (fractional coordinates):
1 Sc 0.0461 0.0461 0.1363  4 P 2.75, 1 Sc 2.80, 1 Tl 2.90
2 Sc 0.2389 0.2389 0.8421  3 P 2.59-2.73
3 Sc 0.4263 0.4263 0.3502  1 P 2.79
4 Sc 0.5737 0.5737 0.6498  1 P 2.79
5 Sc 0.7611 0.7611 0.1579  3 P 2.59-2.73
6 Sc 0.9539 0.9539 0.8637  4 P 2.75, 1 Sc 2.80, 1 Tl 2.90
7 Tl 0.1614 0.1614 0.4067  3 Sc 2.90-3.16
8 Tl 0.8386 0.8386 0.5933  3 Sc 2.90-3.16
9 P 0.3876 0.3876 0.0604  8 Sc 2.59-2.79
10 P 0.6124 0.6124 0.9396  8 Sc 2.59-2.79


(12)
A relaxed ScTlP2 crystal, computed with PBE.

Output
- DFT total energy (eV/f.u.) = -19.7

Cell: 8.1126 8.1126 8.1126 Å, 24.50 24.50 24.50°
With the nearest neighbours (Å) after each atom.
Atoms (fractional coordinates):
1 Sc 0.0000 0.0000 0.0000  3 P 2.76
2 Tl 0.7691 0.7691 0.7691  3 P 3.04, 3 Sc 3.13
3 P 0.2521 0.2521 0.2521  3 P 2.34
4 P 0.5334 0.5334 0.5334  3 P 2.34


no.,magnetic moment (μB/f.u.)
1,0.00
2,0.00
3,0.00
4,0.00
5,0.00
6,0.00
7,0.00
8,0.00
9,0.00
10,0.00
11,0.37
12,0.01